No. 1
VASP calculation (PBE) on an optimized crystal structure of Cd2BPb.

Computed properties:
Total DFT energy (no corrections) ... -33.1 eV per cell
Calculated formation energy ... 0.99 eV per atom
Total magnetization ... 0.0 μB/f.u.
Density ... 8.35 g/cm³
Calculated volume ... 22.02 Å³/atom

Unit cell a=7.062 b=7.062 c=7.062 alpha=90.00 beta=90.00 gamma=90.00
Space group Fm-3m (No. 225)
Unique sites:
Cd: 0.250 0.250 0.250
B: 0.000 0.000 0.000
Pb: 0.000 0.000 0.500

=====

No. 2
VASP calculation (PBE) on an optimized crystal structure of CdBPb2.

Computed properties:
Total DFT energy (no corrections) ... -49.0 eV per cell
Calculated formation energy ... 0.69 eV per atom
Total magnetization ... 0.0 μB/f.u.
Density ... 7.89 g/cm³
Calculated volume ... 28.28 Å³/atom

Unit cell a=6.494 b=6.494 c=10.730 alpha=90.00 beta=90.00 gamma=90.00
Space group I-42d (No. 122)
Unique sites:
Cd: 0.000 0.000 0.000
B: 0.000 0.000 0.500
Pb: 0.166 0.250 0.625

=====

No. 3
VASP calculation (PBE) on an optimized crystal structure of Cd2BPb.

Computed properties:
Total DFT energy (no corrections) ... -36.7 eV per cell
Calculated formation energy ... 0.76 eV per atom
Total magnetization ... 0.0 μB/f.u.
Density ... 7.40 g/cm³
Calculated volume ... 24.83 Å³/atom

Unit cell a=5.194 b=5.194 c=14.726 alpha=90.00 beta=90.00 gamma=90.00
Space group I-42d (No. 122)
Unique sites:
Cd: 0.099 0.250 0.125
B: 0.000 0.000 0.000
Pb: 0.000 0.000 0.500